[1]
Ca3HI PBE optimized geometry; ΔE to the lowest computed polymorph = 0.000 eV per atom
1.0
-0.295 -3.770 -3.653
-1.901 -3.333 3.594
-4.893 1.523 -1.176
I H Ca
1 1 3
direct
0.500 0.500 0.500
0.000 0.000 0.000
0.000 0.500 0.000
0.000 0.000 0.500
0.500 0.000 0.000


[2]
Ca2H3I2 PBE optimized geometry; E = -20.99 eV/cell
1.0
-2.732 2.095 -1.373
-2.686 -5.353 2.177
2.071 5.785 4.709
Ca H I
2 3 2
direct
0.849 0.698 0.749
0.151 0.302 0.251
0.500 0.000 0.000
0.673 0.345 0.421
0.327 0.655 0.579
0.870 0.740 0.231
0.130 0.260 0.769


[3]
CaH3I PBE optimized geometry; ΔE to the lowest computed polymorph = 0.447 eV per atom
1.0
-1.422 4.064 0.952
0.361 -0.883 4.306
4.159 1.466 -0.048
I H Ca
1 3 1
direct
0.000 0.000 0.000
0.000 0.500 0.000
0.000 0.000 0.500
0.500 0.000 0.000
0.500 0.500 0.500


[4]
Ca2H2I PBE optimized geometry; ΔE to the lowest computed polymorph = 0.206 eV per atom
1.0
-6.547 2.016 0.742
-1.437 -2.342 -6.318
2.693 -4.848 4.941
Ca H I
4 4 2
direct
0.452 0.691 0.903
0.462 0.202 0.403
0.941 0.202 0.403
0.452 0.212 0.903
0.654 0.948 0.307
0.609 0.404 0.807
0.198 0.404 0.807
0.654 0.359 0.307
0.970 0.970 0.941
0.220 0.720 0.441


[5]
Ca2H2I PBE optimized geometry; ΔE to the lowest computed polymorph = 0.000 eV per atom
1.0
-2.060 2.141 -2.601
-1.694 -3.293 -1.369
-6.634 0.080 2.321
I H Ca
1 2 2
direct
0.000 0.000 0.000
0.750 0.250 0.500
0.250 0.750 0.500
0.340 0.340 0.320
0.660 0.660 0.680


[6]
KCaHI2 PBE optimized geometry; E = -15.29 eV/cell
1.0
-1.270 -3.637 -4.979
6.145 -1.160 -0.720
-0.348 -3.478 2.629
I H Ca K
2 1 1 1
direct
0.000 0.500 0.000
0.500 0.000 0.000
0.000 0.000 0.500
0.000 0.000 0.000
0.500 0.500 0.500


[7]
K2CaH2I2 PBE optimized geometry; E = -20.71 eV/cell
1.0
4.756 0.000 0.000
0.000 4.756 0.000
-2.378 -2.378 9.237
K Ca H I
2 1 2 2
direct
0.379 0.379 0.758
0.621 0.621 0.242
0.000 0.000 0.000
0.000 0.500 0.000
0.500 0.000 0.000
0.169 0.169 0.337
0.831 0.831 0.663


[8]
CaHIN2 PBE optimized geometry; ΔE to the lowest computed polymorph = 0.000 eV per atom
1.0
4.438 0.000 0.000
0.000 4.438 0.000
0.000 0.000 3.625
I H Ca N
1 1 1 2
direct
0.000 0.000 0.500
0.000 0.000 0.000
0.500 0.500 0.500
0.000 0.500 0.000
0.500 0.000 0.000


[9]
CaHIN2 PBE optimized geometry; ΔE to the lowest computed polymorph = 0.196 eV per atom
1.0
-2.645 -0.990 4.007
-2.282 -3.616 -2.400
4.352 -3.997 1.885
I H Ca N
1 1 1 2
direct
0.000 0.000 0.500
0.500 0.500 0.500
0.000 0.000 0.000
0.000 0.500 0.000
0.500 0.000 0.000


[10]
NaCaHI2 PBE optimized geometry; E = -14.69 eV/cell
1.0
6.216 0.000 0.000
0.000 6.216 0.000
0.000 0.000 4.287
I Na Ca H
2 1 1 1
direct
0.000 0.500 0.000
0.500 0.000 0.000
0.500 0.500 0.500
0.000 0.000 0.000
0.000 0.000 0.500


[11]
CaNi2HI PBE optimized geometry; E = -18.13 eV/cell
1.0
4.082 0.000 0.000
0.000 4.631 0.000
0.000 0.000 4.082
I Ni Ca H
1 2 1 1
direct
0.500 0.500 0.500
0.000 0.000 0.500
0.500 0.000 0.000
0.000 0.500 0.000
0.000 0.000 0.000


[12]
CaH12I2O14 PBE optimized geometry; E = -283.14 eV/cell
1.0
-0.902 5.450 1.204
-8.950 2.543 -4.942
-9.142 0.010 6.386
Ca H I O
2 24 4 28
direct
0.567 0.750 0.250
0.433 0.250 0.750
0.347 0.677 0.811
0.835 0.823 0.689
0.653 0.323 0.189
0.165 0.177 0.311
0.490 0.648 0.010
0.148 0.852 0.490
0.510 0.352 0.990
0.852 0.148 0.510
0.787 0.472 0.463
0.722 0.028 0.037
0.213 0.528 0.537
0.278 0.972 0.963
0.881 0.442 0.328
0.651 0.058 0.172
0.119 0.558 0.672
0.349 0.942 0.828
0.213 0.016 0.149
0.379 0.484 0.351
0.787 0.984 0.851
0.621 0.516 0.649
0.050 0.915 0.154
0.119 0.585 0.346
0.950 0.085 0.846
0.881 0.415 0.654
0.939 0.664 0.977
0.580 0.836 0.523
0.061 0.336 0.023
0.420 0.164 0.477
0.951 0.739 0.093
0.783 0.761 0.407
0.049 0.261 0.907
0.217 0.239 0.593
0.824 0.821 0.834
0.479 0.679 0.666
0.176 0.179 0.166
0.521 0.321 0.334
0.288 0.677 0.906
0.871 0.823 0.594
0.712 0.323 0.094
0.129 0.177 0.406
0.600 0.640 0.072
0.312 0.860 0.428
0.400 0.360 0.928
0.688 0.140 0.572
0.055 0.463 0.113
0.631 0.037 0.387
0.945 0.537 0.887
0.369 0.963 0.613
0.829 0.518 0.363
0.710 0.982 0.137
0.171 0.482 0.637
0.290 0.018 0.863
0.226 0.925 0.139
0.290 0.575 0.361
0.774 0.075 0.861
0.710 0.425 0.639


[13]
CaH2IO PBE optimized geometry; E = -17.08 eV/cell
1.0
-0.506 -3.618 -0.515
7.045 -0.149 -5.877
2.309 -0.720 2.786
I H Ca O
1 2 1 1
direct
0.000 0.000 0.000
0.000 0.000 0.500
0.500 0.000 0.000
0.500 0.500 0.500
0.000 0.500 0.000


[14]
CaH2I2O7 PBE optimized geometry; E = -236.10 eV/cell
1.0
10.214 0.000 0.000
0.000 7.750 0.012
0.000 0.665 8.444
Ca H I O
4 8 8 28
direct
0.493 0.669 0.786
0.993 0.831 0.214
0.507 0.331 0.214
0.007 0.169 0.786
0.505 0.334 0.628
0.005 0.166 0.372
0.495 0.666 0.372
0.995 0.834 0.628
0.422 0.294 0.786
0.922 0.206 0.214
0.578 0.706 0.214
0.078 0.794 0.786
0.811 0.535 0.977
0.311 0.965 0.023
0.189 0.465 0.023
0.689 0.035 0.977
0.313 0.943 0.484
0.813 0.557 0.516
0.687 0.057 0.516
0.187 0.443 0.484
0.642 0.453 0.986
0.142 0.047 0.014
0.358 0.547 0.014
0.858 0.953 0.986
0.832 0.605 0.175
0.332 0.895 0.825
0.168 0.395 0.825
0.668 0.105 0.175
0.901 0.327 0.999
0.401 0.173 0.001
0.099 0.673 0.001
0.599 0.827 0.999
0.688 0.617 0.655
0.188 0.883 0.345
0.312 0.383 0.345
0.812 0.117 0.655
0.566 0.976 0.662
0.066 0.524 0.338
0.434 0.024 0.338
0.934 0.476 0.662
0.379 0.723 0.533
0.879 0.777 0.467
0.621 0.277 0.467
0.121 0.223 0.533
0.438 0.382 0.698
0.938 0.118 0.302
0.562 0.618 0.302
0.062 0.882 0.698


[15]
CaH12I2O12 PBE optimized geometry; E = -266.39 eV/cell
1.0
6.301 0.000 0.000
3.150 7.640 0.000
3.150 0.000 11.519
Ca H I O
2 24 4 24
direct
0.930 0.500 0.500
0.180 0.000 0.000
0.127 0.948 0.755
0.753 0.891 0.443
0.766 0.868 0.079
0.015 0.843 0.448
0.293 0.766 0.795
0.936 0.755 0.973
0.441 0.745 0.473
0.809 0.734 0.295
0.609 0.657 0.948
0.384 0.632 0.579
0.394 0.609 0.943
0.824 0.552 0.255
0.631 0.448 0.745
0.946 0.391 0.057
0.594 0.368 0.421
0.214 0.343 0.052
0.838 0.266 0.705
0.659 0.255 0.527
0.664 0.245 0.027
0.854 0.234 0.205
0.307 0.157 0.552
0.713 0.132 0.921
0.087 0.109 0.557
0.829 0.052 0.245
0.653 0.975 0.719
0.378 0.525 0.219
0.121 0.475 0.781
0.347 0.025 0.281
0.641 0.961 0.312
0.450 0.946 0.131
0.253 0.895 0.799
0.279 0.838 0.355
0.866 0.826 0.491
0.937 0.814 0.040
0.501 0.686 0.540
0.442 0.674 0.991
0.866 0.662 0.855
0.898 0.605 0.299
0.147 0.554 0.631
0.351 0.539 0.812
0.703 0.461 0.188
0.332 0.446 0.369
0.802 0.395 0.701
0.383 0.338 0.145
0.107 0.326 0.009
0.727 0.314 0.460
0.791 0.186 0.960
0.183 0.174 0.509
0.471 0.162 0.645
0.947 0.105 0.201
0.528 0.054 0.869
0.914 0.039 0.688


[16]
CaHPd2I PBE optimized geometry; E = -19.34 eV/cell
1.0
4.207 0.000 0.000
0.000 4.977 0.000
0.000 0.000 4.207
I H Ca Pd
1 1 1 2
direct
0.500 0.500 0.500
0.000 0.000 0.000
0.000 0.500 0.000
0.000 0.000 0.500
0.500 0.000 0.000


[17]
Rb2CaHI5 PBE optimized geometry; E = -51.26 eV/cell
1.0
-2.674 -3.434 2.138
1.001 -3.689 -10.172
12.295 -7.197 3.820
Rb Ca H I
4 2 2 10
direct
0.858 0.716 0.843
0.123 0.246 0.687
0.142 0.284 0.343
0.877 0.754 0.187
0.824 0.649 0.521
0.176 0.351 0.021
0.518 0.035 0.894
0.482 0.965 0.394
0.326 0.652 0.018
0.681 0.363 0.875
0.492 0.984 0.788
0.309 0.618 0.664
0.969 0.937 0.535
0.674 0.348 0.518
0.319 0.637 0.375
0.508 0.016 0.288
0.691 0.382 0.164
0.031 0.063 0.035


[18]
Rb2CaH2I2 PBE optimized geometry; E = -20.41 eV/cell
1.0
-3.027 1.320 3.643
1.857 -3.563 2.834
7.039 7.044 -0.022
Rb Ca H I
2 1 2 2
direct
0.380 0.380 0.759
0.620 0.620 0.241
0.000 0.000 0.000
0.000 0.500 0.000
0.500 0.000 0.000
0.167 0.167 0.335
0.833 0.833 0.665


[19]
RbCaHI2 PBE optimized geometry; E = -15.27 eV/cell
1.0
6.351 0.000 0.000
0.000 6.351 0.000
0.000 0.000 4.427
I H Ca Rb
2 1 1 1
direct
0.000 0.500 0.000
0.500 0.000 0.000
0.000 0.000 0.500
0.000 0.000 0.000
0.500 0.500 0.500


The following mass density values (in Mg/m³) correspond, in order, to the records above: 2.84 3.85 3.29 2.61 3.45 3.20 2.97 4.56 2.18 3.19 6.14 3.08 2.46 4.05 2.98 7.18 3.71 3.44 3.54.